Below is a geometry-optimized Ti5OsRu4 structure, with properties calculated at the PBE level.

Results
Energy of formation from the pure elements in eV per atom: -0.754
Symmetry: P4/mmm (123)
Crystal system: tetragonal
Final energy in eV/atom: -9.5346

Unit cell a=3.082 b=3.082 c=15.428 alpha=90.00 beta=90.00 gamma=90.00
Sites, in units of the cell vectors:
Ti  0.000  0.000  0.000
Ti  0.000  0.000  0.200
Ti  0.000  0.000  0.400
Ti  0.000  0.000  0.600
Ti  0.000  0.000  0.800
Os  0.500  0.500  0.500
Ru  0.500  0.500  0.100
Ru  0.500  0.500  0.299
Ru  0.500  0.500  0.701
Ru  0.500  0.500  0.900

Below is a geometry-optimized Lu2PuH structure, with properties calculated at the PBE level.

Results
E above lowest polymorph in eV/atom: 0.000
Symmetry: R-3m (166)
Crystal system: trigonal
Final energy in eV/atom: -6.5965

Unit cell a=9.356 b=9.356 c=9.356 alpha=20.64 beta=20.64 gamma=20.64
Sites, in units of the cell vectors:
Lu  0.119  0.119  0.119
Lu  0.881  0.881  0.881
Pu  0.000  0.000  0.000
H  0.500  0.500  0.500

Below is a geometry-optimized Ir5Cl3 structure, with properties calculated at the PBE level.

Results
E above lowest polymorph in eV/atom: 0.592
Symmetry: P6_3/mcm (193)
Formation energy without anion corrections in kJ per mole of atoms: 101
Crystal system: hexagonal
Final energy in eV/atom: -5.1808

Unit cell a=10.118 b=10.118 c=4.554 alpha=90.00 beta=90.00 gamma=120.00
Sites, in units of the cell vectors:
Ir  0.000  0.145  0.250
Ir  0.000  0.855  0.750
Ir  0.145  0.000  0.250
Ir  0.145  0.145  0.750
Ir  0.333  0.667  0.000
Ir  0.333  0.667  0.500
Ir  0.667  0.333  0.000
Ir  0.667  0.333  0.500
Ir  0.855  0.000  0.750
Ir  0.855  0.855  0.250
Cl  0.000  0.368  0.250
Cl  0.000  0.632  0.750
Cl  0.368  0.000  0.250
Cl  0.368  0.368  0.750
Cl  0.632  0.000  0.750
Cl  0.632  0.632  0.250

Below is a geometry-optimized ScGaI2O structure, with properties calculated at the PBE level.

Results
E above lowest polymorph in eV/atom: 0.817
Symmetry: P4/mmm (123)
Formation energy without anion corrections in kJ per mole of atoms: -49
Crystal system: tetragonal
Final energy in eV/atom: -3.9865

Unit cell a=5.855 b=5.855 c=3.668 alpha=90.00 beta=90.00 gamma=90.00
Sites, in units of the cell vectors:
Sc  0.000  0.000  0.000
Ga  0.500  0.500  0.500
I  0.000  0.500  0.500
I  0.500  0.000  0.500
O  0.500  0.500  0.000